[1]
Below is a geometry-optimized Cd7Pd2Au structure, with properties calculated at the PBE level.

```
10
Lattice="4.903 0.000 0.000 0.000 7.703 -0.137 0.000 -3.521 6.853" Properties=species:S:1:pos:R:3 pbc="T T T"
Cd 0.000 5.230 1.403
Cd 0.000 -1.048 5.313
Cd 2.451 -0.507 2.069
Cd 2.451 4.689 4.646
Cd 2.451 2.081 0.458
Cd 2.451 2.101 6.258
Cd 2.451 2.091 3.358
Pd 2.451 4.404 1.918
Pd 2.451 -0.222 4.798
Au 0.000 0.000 0.000
```

## Properties
As for the magnetic moment: 0.00 μB per formula unit. Its formation energy is -0.44 eV/f.u. The density comes out at 7.75 g/cm³.

---

[2]
Below is a geometry-optimized Dy3Y2Er4 structure, with properties calculated at the PBE level.

```
18
Lattice="-1.864 2.923 4.999 4.434 -3.056 9.803 7.186 6.997 4.949" Properties=species:S:1:pos:R:3 pbc="T T T"
Dy 0.781 3.831 5.765
Dy 8.571 6.424 15.554
Dy 8.975 3.033 13.986
Dy 1.185 0.440 4.197
Dy 5.073 1.710 9.104
Dy 4.683 5.154 10.647
Y 3.990 4.144 7.017
Y 7.472 4.085 8.869
Y 5.766 2.720 12.733
Y 2.284 2.779 10.881
Er 4.566 -0.229 11.909
Er 4.143 -1.599 8.832
Er 5.190 7.093 7.841
Er 5.613 8.462 10.919
Er 3.552 2.797 3.936
Er 7.919 5.463 11.936
Er 6.205 4.067 15.815
Er 1.837 1.401 7.815
```

## Properties
As for the magnetic moment: 0.00 μB per formula unit. Its formation energy is 0.93 eV/f.u. The density comes out at 7.88 g/cm³.

---

[3]
Below is a geometry-optimized NbV2 structure, with properties calculated at the PBE level.

```
3
Lattice="3.083 0.000 0.000 0.000 3.083 0.000 -1.541 -1.541 4.774" Properties=species:S:1:pos:R:3 pbc="T T T"
Nb 0.000 0.000 0.000
V 1.541 1.541 1.699
V 0.000 0.000 3.076
```

## Properties
As for the magnetic moment: 0.00 μB per formula unit. Its formation energy is 0.10 eV/f.u. The density comes out at 7.13 g/cm³.

---

[4]
Below is a geometry-optimized MoP2RuS structure, with properties calculated at the PBE level.

```
5
Lattice="4.680 0.000 0.000 0.000 4.680 0.000 0.000 0.000 4.547" Properties=species:S:1:pos:R:3 pbc="T T T"
Ru 2.340 2.340 2.274
Mo 0.000 0.000 0.000
S 0.000 0.000 2.274
P 0.000 2.340 0.000
P 2.340 0.000 0.000
```

## Properties
As for the magnetic moment: 1.82 μB per formula unit. The density comes out at 4.85 g/cm³.

---

[5]
Below is a geometry-optimized Ca2DySb3Rh4 structure, with properties calculated at the PBE level.

```
10
Lattice="-4.073 1.164 1.094 -1.521 -3.742 -1.681 1.284 -5.115 10.220" Properties=species:S:1:pos:R:3 pbc="T T T"
Ca -1.737 -0.610 2.929
Ca 0.224 -5.793 6.997
Dy -2.155 -3.846 4.816
Sb 0.642 -2.557 5.110
Sb -0.919 -3.867 9.437
Sb -0.594 -2.536 0.489
Rh -2.797 -1.289 -0.294
Rh 0.000 0.000 0.000
Rh -1.206 -2.726 7.157
Rh -0.307 -3.677 2.769
```

## Properties
As for the magnetic moment: 0.00 μB per formula unit. The density comes out at 7.69 g/cm³.

---

[6]
Below is a geometry-optimized CrGeMo structure, with properties calculated at the PBE level.

```
6
Lattice="-0.472 -2.199 1.990 4.155 1.251 2.367 -5.203 3.188 2.289" Properties=species:S:1:pos:R:3 pbc="T T T"
Cr -1.556 1.931 5.667
Cr -2.825 0.313 3.579
Ge -0.654 -0.793 2.872
Ge 1.476 -0.151 4.086
Mo -0.331 1.818 3.567
Mo -3.578 2.625 3.689
```

## Properties
As for the magnetic moment: 0.89 μB per formula unit. Its formation energy is 0.49 eV/f.u. The density comes out at 8.18 g/cm³.

---

[7]
Below is a geometry-optimized CuSi2HgTe6 structure, with properties calculated at the PBE level.

```
20
Lattice="-6.590 -0.151 1.781 -4.756 -4.548 -7.672 -1.068 -8.306 5.659" Properties=species:S:1:pos:R:3 pbc="T T T"
Cu -3.469 -7.576 3.380
Cu -8.945 -5.429 -3.612
Si -6.151 -8.834 -1.997
Si -3.545 -3.506 -1.216
Si -6.262 -4.171 1.765
Si -8.868 -9.498 0.983
Hg -5.629 -5.374 -4.429
Hg -6.785 -7.630 4.196
Te -6.373 -11.323 -2.540
Te -3.277 -1.065 -0.504
Te -6.041 -1.682 2.308
Te -9.136 -11.940 0.272
Te -7.383 -7.492 -3.842
Te -3.541 -3.597 -3.807
Te -5.030 -5.512 3.610
Te -8.873 -9.408 3.575
Te -10.393 -7.999 -0.391
Te -5.799 -4.587 -0.700
Te -2.020 -5.005 0.159
Te -6.615 -8.417 0.468
```

## Properties
As for the magnetic moment: 0.00 μB per formula unit. The density comes out at 5.58 g/cm³.

---

[8]
Below is a geometry-optimized Cs2KNaS structure, with properties calculated at the PBE level.

```
5
Lattice="6.919 0.000 0.000 0.000 6.919 0.000 0.000 0.000 6.183" Properties=species:S:1:pos:R:3 pbc="T T T"
Cs 0.000 3.459 0.000
Cs 3.459 0.000 0.000
Na 3.459 3.459 3.091
K 0.000 0.000 3.091
S 0.000 0.000 0.000
```

## Properties
As for the magnetic moment: 0.00 μB per formula unit. The density comes out at 2.02 g/cm³.

---

Calculated total energy list, top to bottom, in Ry per atom: -0.15072; -0.35977; -0.69114; -0.44230; -0.42733; -0.60231; -0.24897; -0.16138